No. 1
A plane-wave DFT calculation with PBE-GGA was carried out for an optimized crystal structure of Ca2Mg3In.

Lattice parameters (Å, degrees): 6.113 6.113 6.210 89.63 119.51 120.41
Atoms (fractional coordinates):
In (0.000, 0.000, 0.000)
Mg (0.500, 0.000, 0.500)
Mg (0.500, 0.500, 0.500)
Mg (0.000, 0.000, 0.500)
Ca (0.253, 0.626, 0.880)
Ca (0.747, 0.374, 0.120)

---

No. 2
A plane-wave DFT calculation with PBE-GGA was carried out for an optimized crystal structure of LaPrErLu.

Lattice parameters (Å, degrees): 5.749 5.749 5.749 60.00 60.00 60.00
Atoms (fractional coordinates):
Lu (0.500, 0.500, 0.500)
Er (0.000, 0.000, 0.000)
Pr (0.750, 0.750, 0.750)
La (0.250, 0.250, 0.250)

---

no.,ΔH_f (0 K) (eV per atom)
1,-0.225
2,0.077